A relaxed InCoN2O crystal, computed with PBE with a Hubbard U.

Calculated values
* total magnetization: 0.30 μB/atom
* energy: -4.0573 eV per atom
* crystal system: tetragonal

Unit cell a=4.226 b=4.226 c=4.190 alpha=90.00 beta=90.00 gamma=90.00
Space group P4/mmm (No. 123)
Inequivalent atoms, fractional coordinates:
In 0.000 0.000 0.000
Co 0.500 0.500 0.500
N 0.000 0.500 0.000
O 0.000 0.000 0.500